DFT (PBE+U) results for crystalline BaSrYVO6 at its relaxed geometry.

Output
E, eV/cell: -298.4
D(E_F), states/eV per atom: 0.000

Lattice parameters (Å, degrees): 8.291 8.291 8.291 90.00 90.00 90.00
Space group F-43m (No. 216)
Inequivalent atoms, fractional coordinates:
Ba (0.000, 0.000, 0.000) (multiplicity 4)
Sr (0.000, 0.000, 0.500) (multiplicity 4)
Y (0.250, 0.250, 0.750) (multiplicity 4)
V (0.250, 0.250, 0.250) (multiplicity 4)
O (0.019, 0.250, 0.250) (multiplicity 24)